1.
# Ta2NbS, optimized geometry, DFT PBE-GGA
# Crystal system = trigonal
# Energy = -9.31 eV per atom
data_Ta2NbS
_symmetry_space_group_name_H-M 'P 1'
_symmetry_Int_Tables_number 1
_cell_length_a 2.989
_cell_length_b 2.989
_cell_length_c 9.414
_cell_angle_alpha 80.87
_cell_angle_beta 80.87
_cell_angle_gamma 60.00
loop_
_symmetry_equiv_pos_as_xyz
'x,y,z'
loop_
_atom_site_label
_atom_site_fract_x
_atom_site_fract_y
_atom_site_fract_z
_atom_site_occupancy
S1 0.500 0.500 0.500 1
Nb1 0.000 0.000 0.000 1
Ta1 0.902 0.902 0.294 1
Ta2 0.098 0.098 0.706 1



2.
# CuSb2Cl, optimized geometry, DFT PBE-GGA
# Energy above the lowest structure with this stoichiometry = 214 meV/atom
# Crystal system = tetragonal
# Energy = -3.48 eV per atom
data_CuSb2Cl
_symmetry_space_group_name_H-M 'P 1'
_symmetry_Int_Tables_number 1
_cell_length_a 3.193
_cell_length_b 3.193
_cell_length_c 9.147
_cell_angle_alpha 90.00
_cell_angle_beta 90.00
_cell_angle_gamma 90.00
loop_
_symmetry_equiv_pos_as_xyz
'x,y,z'
loop_
_atom_site_label
_atom_site_fract_x
_atom_site_fract_y
_atom_site_fract_z
_atom_site_occupancy
Sb1 0.500 0.500 0.226 1
Sb2 0.000 0.000 0.942 1
Cl1 0.000 0.000 0.593 1
Cu1 0.500 0.500 0.739 1



3.
# CaAu, optimized geometry, DFT PBE-GGA
# Crystal system = hexagonal
# DFT formation energy = -548.0 meV per atom
# Energy = -3.19 eV per atom
data_CaAu
_symmetry_space_group_name_H-M 'P 1'
_symmetry_Int_Tables_number 1
_cell_length_a 4.721
_cell_length_b 4.721
_cell_length_c 12.766
_cell_angle_alpha 90.00
_cell_angle_beta 90.00
_cell_angle_gamma 120.00
loop_
_symmetry_equiv_pos_as_xyz
'x,y,z'
loop_
_atom_site_label
_atom_site_fract_x
_atom_site_fract_y
_atom_site_fract_z
_atom_site_occupancy
Ca1 0.667 0.333 0.619 1
Ca2 0.333 0.667 0.119 1
Ca3 0.333 0.667 0.381 1
Ca4 0.667 0.333 0.881 1
Au1 0.333 0.667 0.750 1
Au2 0.000 0.000 0.250 1
Au3 0.667 0.333 0.250 1
Au4 0.000 0.000 0.750 1



4.
# Ac2TiSb3Pt4, optimized geometry, DFT PBE-GGA
# Crystal system = tetragonal
# Energy = -6.17 eV per atom
data_Ac2TiSb3Pt4
_symmetry_space_group_name_H-M 'P 1'
_symmetry_Int_Tables_number 1
_cell_length_a 4.601
_cell_length_b 4.601
_cell_length_c 10.951
_cell_angle_alpha 90.00
_cell_angle_beta 90.00
_cell_angle_gamma 90.00
loop_
_symmetry_equiv_pos_as_xyz
'x,y,z'
loop_
_atom_site_label
_atom_site_fract_x
_atom_site_fract_y
_atom_site_fract_z
_atom_site_occupancy
Sb1 0.000 0.500 0.132 1
Sb2 0.000 0.000 0.500 1
Sb3 0.500 0.000 0.868 1
Ti1 0.500 0.500 0.500 1
Pt1 0.500 0.000 0.624 1
Pt2 0.000 0.000 0.000 1
Pt3 0.000 0.500 0.376 1
Pt4 0.500 0.500 0.000 1
Ac1 0.500 0.000 0.242 1
Ac2 0.000 0.500 0.758 1



5.
# NaCd3Ag3, optimized geometry, DFT PBE-GGA
# Energy above the lowest structure with this stoichiometry = 280 meV/atom
# Crystal system = cubic
# DFT formation energy = 312.8 meV per atom
# Energy = -1.49 eV per atom
data_NaCd3Ag3
_symmetry_space_group_name_H-M 'P 1'
_symmetry_Int_Tables_number 1
_cell_length_a 7.714
_cell_length_b 7.714
_cell_length_c 7.714
_cell_angle_alpha 90.00
_cell_angle_beta 90.00
_cell_angle_gamma 90.00
loop_
_symmetry_equiv_pos_as_xyz
'x,y,z'
loop_
_atom_site_label
_atom_site_fract_x
_atom_site_fract_y
_atom_site_fract_z
_atom_site_occupancy
Na1 0.500 0.500 0.500 1
Na2 0.000 0.000 0.000 1
Cd1 0.750 0.000 0.500 1
Cd2 0.500 0.250 0.000 1
Cd3 0.000 0.500 0.750 1
Cd4 0.250 0.000 0.500 1
Cd5 0.000 0.500 0.250 1
Cd6 0.500 0.750 0.000 1
Ag1 0.500 0.000 0.250 1
Ag2 0.000 0.250 0.500 1
Ag3 0.500 0.000 0.750 1
Ag4 0.750 0.500 0.000 1
Ag5 0.000 0.750 0.500 1
Ag6 0.250 0.500 0.000 1



6.
# Y2HoAg, optimized geometry, DFT PBE-GGA
# Energy above the lowest structure with this stoichiometry = 13 meV/atom
# Crystal system = monoclinic
# DFT formation energy = -118.0 meV per atom
# Energy = -5.21 eV per atom
data_Y2HoAg
_symmetry_space_group_name_H-M 'P 1'
_symmetry_Int_Tables_number 1
_cell_length_a 6.975
_cell_length_b 6.743
_cell_length_c 6.731
_cell_angle_alpha 118.04
_cell_angle_beta 121.21
_cell_angle_gamma 90.00
loop_
_symmetry_equiv_pos_as_xyz
'x,y,z'
loop_
_atom_site_label
_atom_site_fract_x
_atom_site_fract_y
_atom_site_fract_z
_atom_site_occupancy
Y1 0.834 0.333 0.590 1
Y2 0.755 0.833 0.590 1
Y3 0.245 0.167 0.410 1
Y4 0.166 0.667 0.410 1
Ag1 0.747 0.250 0.000 1
Ag2 0.253 0.750 0.000 1
Ho1 0.338 0.250 0.000 1
Ho2 0.662 0.750 0.000 1



7.
# LaBeTl2, optimized geometry, DFT PBE-GGA
# Energy above the lowest structure with this stoichiometry = 12 meV/atom
# Crystal system = trigonal
# DFT formation energy = -1.3 meV per atom
# Energy = -3.35 eV per atom
data_LaBeTl2
_symmetry_space_group_name_H-M 'P 1'
_symmetry_Int_Tables_number 1
_cell_length_a 4.480
_cell_length_b 4.480
_cell_length_c 6.507
_cell_angle_alpha 69.87
_cell_angle_beta 69.87
_cell_angle_gamma 59.97
loop_
_symmetry_equiv_pos_as_xyz
'x,y,z'
loop_
_atom_site_label
_atom_site_fract_x
_atom_site_fract_y
_atom_site_fract_z
_atom_site_occupancy
La1 0.234 0.234 0.297 1
Be1 0.457 0.457 0.628 1
Tl1 0.021 0.021 0.937 1
Tl2 0.787 0.787 0.638 1



8.
# DyTh12Sc6, optimized geometry, DFT PBE-GGA
# Crystal system = cubic
# DFT formation energy = 254.3 meV per atom
# Energy = -6.67 eV per atom
data_DyTh12Sc6
_symmetry_space_group_name_H-M 'P 1'
_symmetry_Int_Tables_number 1
_cell_length_a 9.045
_cell_length_b 9.045
_cell_length_c 9.045
_cell_angle_alpha 109.47
_cell_angle_beta 109.47
_cell_angle_gamma 109.47
loop_
_symmetry_equiv_pos_as_xyz
'x,y,z'
loop_
_atom_site_label
_atom_site_fract_x
_atom_site_fract_y
_atom_site_fract_z
_atom_site_occupancy
Th1 0.085 0.816 0.268 1
Th2 0.816 0.732 0.548 1
Th3 0.915 0.184 0.732 1
Th4 0.816 0.268 0.085 1
Th5 0.268 0.452 0.184 1
Th6 0.732 0.548 0.816 1
Th7 0.184 0.268 0.452 1
Th8 0.184 0.732 0.915 1
Th9 0.268 0.085 0.816 1
Th10 0.548 0.816 0.732 1
Th11 0.452 0.184 0.268 1
Th12 0.732 0.915 0.184 1
Sc1 0.853 0.353 0.500 1
Sc2 0.353 0.500 0.853 1
Sc3 0.647 0.500 0.147 1
Sc4 0.500 0.147 0.647 1
Sc5 0.147 0.647 0.500 1
Sc6 0.500 0.853 0.353 1
Dy1 0.000 0.000 0.000 1



9.
# LiYRe3, optimized geometry, DFT PBE-GGA
# Energy above the lowest structure with this stoichiometry = 0 meV/atom
# Crystal system = cubic
# DFT formation energy = 1207.9 meV per atom
# Energy = -7.94 eV per atom
data_LiYRe3
_symmetry_space_group_name_H-M 'P 1'
_symmetry_Int_Tables_number 1
_cell_length_a 4.347
_cell_length_b 4.347
_cell_length_c 4.347
_cell_angle_alpha 90.00
_cell_angle_beta 90.00
_cell_angle_gamma 90.00
loop_
_symmetry_equiv_pos_as_xyz
'x,y,z'
loop_
_atom_site_label
_atom_site_fract_x
_atom_site_fract_y
_atom_site_fract_z
_atom_site_occupancy
Li1 0.000 0.000 0.000 1
Y1 0.500 0.500 0.500 1
Re1 0.000 0.500 0.000 1
Re2 0.500 0.000 0.000 1
Re3 0.000 0.000 0.500 1



10.
# Cr2IrW, optimized geometry, DFT PBE-GGA
# Crystal system = tetragonal
# DFT formation energy = -2.4 meV per atom
# Energy = -10.27 eV per atom
data_Cr2IrW
_symmetry_space_group_name_H-M 'P 1'
_symmetry_Int_Tables_number 1
_cell_length_a 2.855
_cell_length_b 2.855
_cell_length_c 6.666
_cell_angle_alpha 90.00
_cell_angle_beta 90.00
_cell_angle_gamma 90.00
loop_
_symmetry_equiv_pos_as_xyz
'x,y,z'
loop_
_atom_site_label
_atom_site_fract_x
_atom_site_fract_y
_atom_site_fract_z
_atom_site_occupancy
Cr1 0.500 0.500 0.218 1
Cr2 0.000 0.000 0.038 1
W1 0.500 0.500 0.764 1
Ir1 0.000 0.000 0.480 1



11.
# Cs2BaPSe4, optimized geometry, DFT PBE-GGA
# Crystal system = orthorhombic
# Energy = -3.71 eV per atom
data_Cs2BaPSe4
_symmetry_space_group_name_H-M 'P 1'
_symmetry_Int_Tables_number 1
_cell_length_a 7.327
_cell_length_b 8.260
_cell_length_c 14.420
_cell_angle_alpha 83.53
_cell_angle_beta 75.28
_cell_angle_gamma 63.67
loop_
_symmetry_equiv_pos_as_xyz
'x,y,z'
loop_
_atom_site_label
_atom_site_fract_x
_atom_site_fract_y
_atom_site_fract_z
_atom_site_occupancy
Cs1 0.939 0.500 0.122 1
Cs2 0.189 0.000 0.622 1
Cs3 0.811 0.000 0.378 1
Cs4 0.561 0.500 0.878 1
Se1 0.377 0.696 0.404 1
Se2 0.220 0.304 0.404 1
Se3 0.530 0.196 0.096 1
Se4 0.823 0.804 0.904 1
Se5 0.477 0.304 0.596 1
Se6 0.927 0.696 0.596 1
Se7 0.273 0.196 0.904 1
Se8 0.373 0.804 0.096 1
P1 0.250 0.500 0.500 1
P2 0.500 0.000 0.000 1
Ba1 0.750 0.500 0.500 1
Ba2 0.000 0.000 0.000 1



12.
# CaTlNi, optimized geometry, DFT PBE-GGA
# Crystal system = monoclinic
# DFT formation energy = -220.6 meV per atom
# Energy = -3.60 eV per atom
data_CaTlNi
_symmetry_space_group_name_H-M 'P 1'
_symmetry_Int_Tables_number 1
_cell_length_a 4.052
_cell_length_b 5.456
_cell_length_c 6.700
_cell_angle_alpha 99.99
_cell_angle_beta 107.60
_cell_angle_gamma 90.00
loop_
_symmetry_equiv_pos_as_xyz
'x,y,z'
loop_
_atom_site_label
_atom_site_fract_x
_atom_site_fract_y
_atom_site_fract_z
_atom_site_occupancy
Ni1 0.223 0.884 0.446 1
Ni2 0.777 0.116 0.554 1
Ca1 0.131 0.319 0.261 1
Ca2 0.869 0.681 0.739 1
Tl1 0.415 0.211 0.830 1
Tl2 0.585 0.789 0.170 1



13.
# GeBPb2, optimized geometry, DFT PBE-GGA
# Energy above the lowest structure with this stoichiometry = 311 meV/atom
# Crystal system = cubic
# DFT formation energy = 998.3 meV per atom
# Energy = -3.68 eV per atom
data_GeBPb2
_symmetry_space_group_name_H-M 'P 1'
_symmetry_Int_Tables_number 1
_cell_length_a 5.053
_cell_length_b 5.053
_cell_length_c 5.053
_cell_angle_alpha 60.00
_cell_angle_beta 60.00
_cell_angle_gamma 60.00
loop_
_symmetry_equiv_pos_as_xyz
'x,y,z'
loop_
_atom_site_label
_atom_site_fract_x
_atom_site_fract_y
_atom_site_fract_z
_atom_site_occupancy
Ge1 0.500 0.500 0.500 1
Pb1 0.750 0.750 0.750 1
Pb2 0.250 0.250 0.250 1
B1 0.000 0.000 0.000 1



14.
# ZrTi2Te, optimized geometry, DFT PBE-GGA
# Crystal system = tetragonal
# Energy = -6.70 eV per atom
data_ZrTi2Te
_symmetry_space_group_name_H-M 'P 1'
_symmetry_Int_Tables_number 1
_cell_length_a 7.848
_cell_length_b 7.848
_cell_length_c 6.231
_cell_angle_alpha 50.97
_cell_angle_beta 50.97
_cell_angle_gamma 90.00
loop_
_symmetry_equiv_pos_as_xyz
'x,y,z'
loop_
_atom_site_label
_atom_site_fract_x
_atom_site_fract_y
_atom_site_fract_z
_atom_site_occupancy
Ti1 0.375 0.345 0.750 1
Ti2 0.655 0.125 0.250 1
Ti3 0.095 0.625 0.250 1
Ti4 0.875 0.905 0.750 1
Te1 0.750 0.250 0.500 1
Te2 0.000 0.000 0.000 1
Zr1 0.250 0.750 0.500 1
Zr2 0.500 0.500 0.000 1



15.
# KScAl2, optimized geometry, DFT PBE-GGA
# Energy above the lowest structure with this stoichiometry = 433 meV/atom
# Crystal system = monoclinic
# DFT formation energy = 410.7 meV per atom
# Energy = -3.32 eV per atom
data_KScAl2
_symmetry_space_group_name_H-M 'P 1'
_symmetry_Int_Tables_number 1
_cell_length_a 2.924
_cell_length_b 6.950
_cell_length_c 6.297
_cell_angle_alpha 51.87
_cell_angle_beta 90.00
_cell_angle_gamma 90.00
loop_
_symmetry_equiv_pos_as_xyz
'x,y,z'
loop_
_atom_site_label
_atom_site_fract_x
_atom_site_fract_y
_atom_site_fract_z
_atom_site_occupancy
K1 0.500 0.500 0.500 1
Sc1 0.000 0.000 0.500 1
Al1 0.000 0.000 0.000 1
Al2 0.500 0.500 0.000 1



16.
# TbHfO, optimized geometry, DFT PBE-GGA
# Crystal system = orthorhombic
# Energy = -8.22 eV per atom
data_TbHfO
_symmetry_space_group_name_H-M 'P 1'
_symmetry_Int_Tables_number 1
_cell_length_a 5.535
_cell_length_b 5.213
_cell_length_c 8.005
_cell_angle_alpha 90.00
_cell_angle_beta 90.00
_cell_angle_gamma 90.00
loop_
_symmetry_equiv_pos_as_xyz
'x,y,z'
loop_
_atom_site_label
_atom_site_fract_x
_atom_site_fract_y
_atom_site_fract_z
_atom_site_occupancy
Tb1 0.975 0.250 0.831 1
Tb2 0.025 0.750 0.169 1
Tb3 0.525 0.750 0.831 1
Tb4 0.475 0.250 0.169 1
O1 0.250 0.500 0.380 1
O2 0.750 0.000 0.620 1
O3 0.750 0.500 0.620 1
O4 0.250 0.000 0.380 1
Hf1 0.074 0.750 0.581 1
Hf2 0.574 0.750 0.419 1
Hf3 0.426 0.250 0.581 1
Hf4 0.926 0.250 0.419 1



17.
# RbRhPb2, optimized geometry, DFT PBE-GGA
# Crystal system = trigonal
# DFT formation energy = -43.3 meV per atom
# Energy = -3.98 eV per atom
data_RbRhPb2
_symmetry_space_group_name_H-M 'P 1'
_symmetry_Int_Tables_number 1
_cell_length_a 4.603
_cell_length_b 4.603
_cell_length_c 7.607
_cell_angle_alpha 72.39
_cell_angle_beta 72.39
_cell_angle_gamma 60.00
loop_
_symmetry_equiv_pos_as_xyz
'x,y,z'
loop_
_atom_site_label
_atom_site_fract_x
_atom_site_fract_y
_atom_site_fract_z
_atom_site_occupancy
Rb1 0.497 0.497 0.509 1
Pb1 0.288 0.288 0.135 1
Pb2 0.045 0.045 0.865 1
Rh1 0.670 0.670 0.991 1



18.
# Sm6Si2Sb, optimized geometry, DFT PBE-GGA
# Crystal system = orthorhombic
# Energy = -5.43 eV per atom
data_Sm6Si2Sb
_symmetry_space_group_name_H-M 'P 1'
_symmetry_Int_Tables_number 1
_cell_length_a 8.673
_cell_length_b 8.673
_cell_length_c 8.673
_cell_angle_alpha 104.93
_cell_angle_beta 111.08
_cell_angle_gamma 112.50
loop_
_symmetry_equiv_pos_as_xyz
'x,y,z'
loop_
_atom_site_label
_atom_site_fract_x
_atom_site_fract_y
_atom_site_fract_z
_atom_site_occupancy
Sm1 0.464 0.276 0.188 1
Sm2 0.295 0.616 0.321 1
Sm3 0.208 0.757 0.965 1
Sm4 0.705 0.384 0.679 1
Sm5 0.088 0.276 0.812 1
Sm6 0.536 0.724 0.812 1
Sm7 0.295 0.974 0.679 1
Sm8 0.912 0.724 0.188 1
Sm9 0.208 0.243 0.450 1
Sm10 0.792 0.243 0.035 1
Sm11 0.792 0.757 0.550 1
Sm12 0.705 0.026 0.321 1
Sb1 0.000 0.000 0.000 1
Sb2 0.000 0.500 0.500 1
Si1 0.500 0.613 0.113 1
Si2 0.625 0.000 0.625 1
Si3 0.500 0.387 0.887 1
Si4 0.375 0.000 0.375 1



19.
# Cr2PbC, optimized geometry, DFT PBE-GGA
# Crystal system = cubic
# DFT formation energy = 1763.0 meV per atom
# Energy = -6.28 eV per atom
data_Cr2PbC
_symmetry_space_group_name_H-M 'P 1'
_symmetry_Int_Tables_number 1
_cell_length_a 4.247
_cell_length_b 4.247
_cell_length_c 4.247
_cell_angle_alpha 60.00
_cell_angle_beta 60.00
_cell_angle_gamma 60.00
loop_
_symmetry_equiv_pos_as_xyz
'x,y,z'
loop_
_atom_site_label
_atom_site_fract_x
_atom_site_fract_y
_atom_site_fract_z
_atom_site_occupancy
Pb1 0.500 0.500 0.500 1
Cr1 0.750 0.750 0.750 1
Cr2 0.250 0.250 0.250 1
C1 0.000 0.000 0.000 1



20.
# KGaC, optimized geometry, DFT PBE-GGA
# Crystal system = orthorhombic
# DFT formation energy = 653.0 meV per atom
# Energy = -3.80 eV per atom
data_KGaC
_symmetry_space_group_name_H-M 'P 1'
_symmetry_Int_Tables_number 1
_cell_length_a 16.526
_cell_length_b 3.635
_cell_length_c 9.055
_cell_angle_alpha 78.42
_cell_angle_beta 24.14
_cell_angle_gamma 90.00
loop_
_symmetry_equiv_pos_as_xyz
'x,y,z'
loop_
_atom_site_label
_atom_site_fract_x
_atom_site_fract_y
_atom_site_fract_z
_atom_site_occupancy
K1 0.014 0.014 0.972 1
K2 0.219 0.521 0.958 1
K3 0.823 0.521 0.958 1
Ga1 0.516 0.516 0.967 1
Ga2 0.374 0.989 0.023 1
Ga3 0.603 0.989 0.023 1
C1 0.662 0.162 0.676 1
C2 0.237 0.363 0.274 1
C3 0.489 0.363 0.274 1